(1)
This record from Alexandria describes a geometry-optimized BiIr2Os2 structure. The functional is PBE.

## Properties
total magnetic moment: 0.0000 μB per atom
ρ: 17.5 g/cm3
formation enthalpy at 0 K: 0.66 eV per atom

a b c (Å): 6.337 6.337 6.337
angles (deg): 142.80 142.80 53.62
Sites, in units of the cell vectors:
Bi 0.000 0.000 0.000
Ir 0.250 0.750 0.500
Ir 0.750 0.250 0.500
Os 0.394 0.394 0.000
Os 0.606 0.606 0.000

***

(2)
This record from Alexandria describes a geometry-optimized PmNd2Dy4Th structure. The functional is PBE.

## Properties
total magnetic moment: 0.0000 μB per atom
ρ: 8.3 g/cm3
formation enthalpy at 0 K: 0.03 eV per atom

a b c (Å): 5.107 5.125 10.039
angles (deg): 90.00 90.04 90.00
Sites, in units of the cell vectors:
Pm 0.000 0.000 0.000
Nd 0.000 0.000 0.500
Nd 0.500 0.500 0.000
Dy 0.000 0.500 0.255
Dy 0.000 0.500 0.745
Dy 0.500 0.000 0.255
Dy 0.500 0.000 0.745
Th 0.500 0.500 0.500

***

(3)
This record from Alexandria describes a geometry-optimized Si3OsPt structure. The functional is PBE.

## Properties
total magnetic moment: 0.0000 μB per atom
ρ: 8.1 g/cm3
raw formation energy: 0.49 eV per atom

a b c (Å): 4.589 4.589 4.589
angles (deg): 90.00 90.00 90.00
Sites, in units of the cell vectors:
Si 0.000 0.000 0.500
Si 0.000 0.500 0.000
Si 0.500 0.000 0.000
Os 0.000 0.000 0.000
Pt 0.500 0.500 0.500

***

(4)
This record from Alexandria describes a geometry-optimized Tl7Au structure. The functional is PBE.

## Properties
total magnetic moment: 0.0000 μB per atom
ρ: 11.4 g/cm3
formation enthalpy at 0 K: 0.01 eV per atom

a b c (Å): 9.348 9.348 9.348
angles (deg): 34.85 34.85 34.85
Sites, in units of the cell vectors:
Tl 0.000 0.000 0.000
Tl 0.136 0.136 0.136
Tl 0.268 0.268 0.268
Tl 0.392 0.392 0.392
Tl 0.608 0.608 0.608
Tl 0.732 0.732 0.732
Tl 0.864 0.864 0.864
Au 0.500 0.500 0.500

***

(5)
This record from Alexandria describes a geometry-optimized CdIn2Ni structure. The functional is PBE.

## Properties
total magnetic moment: 0.0001 μB per atom
ρ: 8.4 g/cm3
formation enthalpy at 0 K: 0.17 eV per atom

a b c (Å): 5.197 5.197 5.197
angles (deg): 130.38 130.38 72.81
Sites, in units of the cell vectors:
Cd 0.000 0.000 0.000
In 0.250 0.750 0.500
In 0.750 0.250 0.500
Ni 0.500 0.500 0.000

***

(6)
This record from Alexandria describes a geometry-optimized HgTeSI2 structure. The functional is PBE.

## Properties
total magnetic moment: 0.0000 μB per atom
ρ: 6.0 g/cm3
raw formation energy: 0.36 eV per atom

a b c (Å): 5.590 5.590 5.420
angles (deg): 90.00 90.00 90.00
Sites, in units of the cell vectors:
Hg 0.000 0.000 0.000
Te 0.500 0.500 0.000
S 0.500 0.500 0.500
I 0.000 0.500 0.500
I 0.500 0.000 0.500

***

Question: total magnetic moment of number 3 (Si3OsPt)?
Answer: 0.0000 μB per atom

***

What did the first record say?
This record from Alexandria describes a geometry-optimized BiIr2Os2 structure. The functional is PBE.

## Properties
total magnetic moment: 0.0000 μB per atom
ρ: 17.5 g/cm3
formation enthalpy at 0 K: 0.66 eV per atom

a b c (Å): 6.337 6.337 6.337
angles (deg): 142.80 142.80 53.62
Sites, in units of the cell vectors:
Bi 0.000 0.000 0.000
Ir 0.250 0.750 0.500
Ir 0.750 0.250 0.500
Os 0.394 0.394 0.000
Os 0.606 0.606 0.000

***

Question: Among the records above, which one has the lowest ρ?
Answer: HgTeSI2

***

Question: Look up the ρ of the fifth one.
Answer: 8.4 g/cm3